Li2Ac3Cu4 | PBE-GGA | optimized geometry

Geometry as extended XYZ:
```
9
Lattice="4.283 0.000 1.265 1.724 5.551 2.046 -0.363 0.565 9.111" Properties=species:S:1:pos:R:3 pbc="T T T"
Cu 3.806 3.880 10.761
Cu 1.838 2.236 1.661
Cu 5.098 4.317 6.386
Cu 0.545 1.799 6.036
Ac 0.000 0.000 0.000
Ac 3.329 2.371 4.495
Ac 2.315 3.745 7.927
Li 3.085 5.653 5.321
Li 2.559 0.462 7.101
```

DFT formation energy = -82.7 meV per atom
raw total energy = -33.3 eV/cell